# 1
Here is Ac2Al2InRh5 after structural relaxation from Alexandria. Energies are from PBE.

Calculated values
The value obtained for the total energy is -6.20 eV per atom. The formation energy comes out at -683 meV/atom.

```
Ac2Al2InRh5
1.0
10.3255 0.0000 0.0000
0.0000 10.3255 0.0000
0.0000 0.0000 3.6154
Ac Al In Rh
4 4 2 10
Cartesian
1.8563 3.3065 0.0000
3.3065 8.4692 0.0000
7.0190 1.8563 0.0000
8.4692 7.0190 0.0000
1.2105 6.3732 0.0000
3.9522 1.2105 0.0000
6.3732 9.1150 0.0000
9.1150 3.9522 0.0000
0.0000 0.0000 0.0000
5.1627 5.1627 0.0000
0.0000 5.1627 1.8077
0.6872 8.0886 1.8077
2.2368 0.6872 1.8077
2.9259 5.8499 1.8077
4.4755 2.9259 1.8077
5.1627 0.0000 1.8077
5.8499 7.3995 1.8077
7.3995 4.4755 1.8077
8.0886 9.6382 1.8077
9.6382 2.2368 1.8077
```



# 2
Here is GeMo2Br after structural relaxation from Alexandria. Energies are from PBE.

Calculated values
Its formation energy without anion corrections is 1.188 eV per atom. The value obtained for the total energy is -5.80 eV per atom.

```
GeMo2Br
1.0
-2.9776 2.9776 5.2465
2.9776 -2.9776 5.2465
2.9776 2.9776 -5.2465
Ge Mo Br
2 4 2
Cartesian
0.0000 0.0000 0.0000
0.0000 2.9776 2.6233
4.4664 1.4764 -1.3116
1.4764 1.4888 1.3116
-1.4888 1.5012 3.9349
1.5012 1.4888 6.5582
2.9776 0.0000 2.6233
0.0000 0.0000 5.2465
```



# 3
Here is Ag2HgW after structural relaxation from Alexandria. Energies are from PBE.

Calculated values
The value obtained for the total energy is -4.07 eV per atom. The formation energy comes out at 669 meV/atom.

```
Ag2HgW
1.0
-1.3900 2.5640 5.2291
1.3900 -2.5640 5.2291
1.3900 2.5640 -5.2291
Ag Hg W
2 1 1
Cartesian
0.0000 0.0000 2.5167
0.0000 0.0000 7.9416
0.0000 2.5640 0.0000
1.3900 0.0000 0.0000
```



# 4
Here is Pm2Ga4SnAu3 after structural relaxation from Alexandria. Energies are from PBE.

Calculated values
The value obtained for the total energy is -4.13 eV per atom. The formation energy comes out at -589 meV/atom.

```
Pm2Ga4SnAu3
1.0
4.3813 0.0000 0.0000
0.0000 4.3813 0.0000
0.0000 0.0000 11.0772
Pm Ga Sn Au
2 4 1 3
Cartesian
0.0000 2.1906 2.6918
2.1906 0.0000 8.3854
0.0000 0.0000 0.0000
0.0000 2.1906 7.1847
2.1906 0.0000 3.8925
2.1906 2.1906 0.0000
0.0000 0.0000 5.5386
0.0000 2.1906 9.6574
2.1906 0.0000 1.4198
2.1906 2.1906 5.5386
```



# 5
Here is K5BrO2 after structural relaxation from Alexandria. Energies are from PBE.

Calculated values
Its formation energy without anion corrections is -1.189 eV per atom. The value obtained for the total energy is -3.32 eV per atom.

```
K5BrO2
1.0
2.6383 -6.9975 0.0000
2.6383 6.9975 0.0000
0.0000 0.0000 13.4324
K Br O
10 2 4
Cartesian
2.6383 6.4437 8.1741
2.6383 6.4437 11.9745
2.6383 4.4205 3.3581
2.6383 2.5155 6.9852
2.6383 2.5155 13.1634
2.6383 -2.5155 0.2690
2.6383 -2.5155 6.4472
2.6383 -4.4205 10.0743
2.6383 -6.4437 1.4579
2.6383 -6.4437 5.2583
2.6383 1.1310 3.3581
2.6383 -1.1310 10.0743
2.6383 5.0399 0.7611
2.6383 5.0399 5.9551
2.6383 -5.0399 7.4773
2.6383 -5.0399 12.6713
```



# 6
Here is NaCdRhPb after structural relaxation from Alexandria. Energies are from PBE.

Calculated values
The value obtained for the total energy is -3.38 eV per atom. The formation energy comes out at -52 meV/atom.

```
NaCdRhPb
1.0
0.0000 3.4314 3.4314
3.4314 0.0000 3.4314
3.4314 3.4314 0.0000
Na Cd Rh Pb
1 1 1 1
Cartesian
0.0000 0.0000 0.0000
5.1471 5.1471 5.1471
3.4314 3.4314 3.4314
1.7157 1.7157 1.7157
```



# 7
Here is CePuZrIn after structural relaxation from Alexandria. Energies are from PBE.

Calculated values
The value obtained for the total energy is -7.90 eV per atom. The formation energy comes out at -14 meV/atom.

```
CePuZrIn
1.0
0.0000 3.6531 3.6531
3.6531 0.0000 3.6531
3.6531 3.6531 0.0000
Ce Pu Zr In
1 1 1 1
Cartesian
0.0000 0.0000 0.0000
1.8265 1.8265 1.8265
5.4796 5.4796 5.4796
3.6531 3.6531 3.6531
```